A plane-wave DFT calculation with PBE with a Hubbard U was carried out for an optimized crystal structure of CrPtI2O.

a b c (Å): 5.5327 5.5327 3.5322
angles (deg): 90.00 90.00 90.00
Fractional coordinates of all 5 atoms:
Cr 0.0000 0.0000 0.0000
Pt 0.5000 0.5000 0.5000
I 0.0000 0.5000 0.0000
I 0.5000 0.0000 0.0000
O 0.0000 0.0000 0.5000

Energy in eV/cell: -19.959
Total moment in μB per cell: 0.0